No. 1
A plane-wave DFT calculation with PBE was carried out for a relaxed Sm3Si4Tc2 crystal.

Results
Its volume is 20.176 Å³/atom. The crystal system is monoclinic. As for the density of states at the Fermi level: 5.6 states/eV per cell. The size of the total moment comes out at 0.0 μB per formula unit. As for the raw formation energy: -0.665 eV per atom.

Cell lengths 5.8916, 5.8916, 8.2741 Å; angles 107.57, 107.57, 41.92 degrees
Closest atoms and distances in Å follow each position.
Sites, in units of the cell vectors:
1 Sm 0.0000 0.0000 0.0000  8 Si 3.09-3.38
2 Sm 0.3805 0.3805 0.3028  7 Si 2.96-3.15, 4 Tc 3.13-3.24
3 Sm 0.6195 0.6195 0.6972  7 Si 2.96-3.15, 4 Tc 3.13-3.24
4 Si 0.1055 0.1055 0.4122  3 Tc 2.40-2.49
5 Si 0.2837 0.2837 0.9243  1 Tc 2.42, 2 Si 2.68
6 Si 0.7163 0.7163 0.0757  1 Tc 2.42, 2 Si 2.68
7 Si 0.8945 0.8945 0.5878  3 Tc 2.40-2.49
8 Tc 0.3149 0.3149 0.6477  4 Si 2.40-2.49
9 Tc 0.6851 0.6851 0.3523  4 Si 2.40-2.49

No. 2
A plane-wave DFT calculation with PBE was carried out for a relaxed SmSi2Tc2 crystal.

Results
Its volume is 17.645 Å³/atom. For the offset from the most stable computed form, the calculation gives 0 meV per atom. The crystal system is tetragonal. As for the density of states at the Fermi level: 5.1 states/eV per cell. The size of the total moment comes out at 0.0 μB per formula unit. As for the raw formation energy: -0.611 eV per atom.

Cell lengths 5.8989, 5.8989, 5.8989 Å; angles 138.78, 138.78, 59.71 degrees
Closest atoms and distances in Å follow each position.
Sites, in units of the cell vectors:
1 Sm 0.0000 0.0000 0.0000  8 Si 3.20, 8 Tc 3.29
2 Si 0.3754 0.3754 0.0000  4 Tc 2.44, 1 Si 2.55
3 Si 0.6246 0.6246 0.0000  4 Tc 2.44, 1 Si 2.55
4 Tc 0.2500 0.7500 0.5000  4 Si 2.44
5 Tc 0.7500 0.2500 0.5000  4 Si 2.44

No. 3
A plane-wave DFT calculation with PBE was carried out for a relaxed Sm2Si4Tc3 crystal.

Results
Its volume is 16.786 Å³/atom. For the offset from the most stable computed form, the calculation gives 0 meV per atom. The crystal system is monoclinic. As for the density of states at the Fermi level: 6.9 states/eV per cell. The size of the total moment comes out at 0.0 μB per formula unit. As for the raw formation energy: -0.664 eV per atom.

Cell lengths 6.8295, 6.8426, 6.8998 Å; angles 90.00, 110.44, 90.00 degrees
Closest atoms and distances in Å follow each position.
Sites, in units of the cell vectors:
1 Sm 0.1893 0.1658 0.0564  7 Si 2.82-3.09, 1 Tc 3.10
2 Sm 0.1893 0.3342 0.5564  7 Si 2.82-3.09, 1 Tc 3.10
3 Sm 0.8107 0.6658 0.4436  7 Si 2.82-3.09, 1 Tc 3.10
4 Sm 0.8107 0.8342 0.9436  7 Si 2.82-3.09, 1 Tc 3.10
5 Si 0.1070 0.5550 0.8816  4 Tc 2.50-2.66, 1 Si 2.65
6 Si 0.1070 0.9450 0.3816  4 Tc 2.50-2.66, 1 Si 2.65
7 Si 0.4854 0.6435 0.6307  5 Tc 2.52-2.70, 1 Si 2.72, 1 Sm 2.82
8 Si 0.4854 0.8565 0.1307  5 Tc 2.52-2.70, 1 Si 2.72, 1 Sm 2.82
9 Si 0.5146 0.1435 0.8693  5 Tc 2.52-2.70, 1 Si 2.72, 1 Sm 2.82
10 Si 0.5146 0.3565 0.3693  5 Tc 2.52-2.70, 1 Si 2.72, 1 Sm 2.82
11 Si 0.8930 0.0550 0.6184  4 Tc 2.50-2.66, 1 Si 2.65
12 Si 0.8930 0.4450 0.1184  4 Tc 2.50-2.66, 1 Si 2.65
13 Tc 0.2448 0.6499 0.2577  6 Si 2.50-2.66
14 Tc 0.2448 0.8501 0.7577  6 Si 2.50-2.66
15 Tc 0.5000 0.0000 0.5000  6 Si 2.55-2.70
16 Tc 0.5000 0.5000 0.0000  6 Si 2.55-2.70
17 Tc 0.7552 0.1499 0.2423  6 Si 2.50-2.66
18 Tc 0.7552 0.3501 0.7423  6 Si 2.50-2.66

No. 4
A plane-wave DFT calculation with PBE was carried out for a relaxed Sm2Si4Tc3 crystal.

Results
Its volume is 17.272 Å³/atom. For the offset from the most stable computed form, the calculation gives 147 meV per atom. The crystal system is orthorhombic. As for the density of states at the Fermi level: 13.3 states/eV per cell. The size of the total moment comes out at 0.0 μB per formula unit. As for the raw formation energy: -0.517 eV per atom.

Cell lengths 8.0199, 8.0199, 7.4719 Å; angles 90.00, 90.00, 139.69 degrees
Closest atoms and distances in Å follow each position.
Sites, in units of the cell vectors:
1 Sm 0.1076 0.8924 0.9044  8 Si 3.02-3.31, 4 Tc 3.10-3.28
2 Sm 0.3924 0.6076 0.4044  8 Si 3.02-3.31, 4 Tc 3.10-3.28
3 Sm 0.6076 0.3924 0.5956  8 Si 3.02-3.31, 4 Tc 3.10-3.28
4 Sm 0.8924 0.1076 0.0956  8 Si 3.02-3.31, 4 Tc 3.10-3.28
5 Si 0.1803 0.8197 0.5205  5 Tc 2.54-2.72
6 Si 0.1905 0.3095 0.7500  3 Tc 2.49, 2 Si 2.76
7 Si 0.3095 0.1905 0.2500  3 Tc 2.49, 2 Si 2.76
8 Si 0.3197 0.6803 0.0205  5 Tc 2.54-2.72
9 Si 0.6803 0.3197 0.9795  5 Tc 2.54-2.72
10 Si 0.6905 0.8095 0.7500  3 Tc 2.49, 2 Si 2.76
11 Si 0.8095 0.6905 0.2500  3 Tc 2.49, 2 Si 2.76
12 Si 0.8197 0.1803 0.4795  5 Tc 2.54-2.72
13 Tc 0.0000 0.0000 0.5000  6 Si 2.49-2.72
14 Tc 0.0254 0.4746 0.7500  5 Si 2.49-2.63, 2 Tc 2.76
15 Tc 0.4746 0.0254 0.2500  5 Si 2.49-2.63, 2 Tc 2.76
16 Tc 0.5000 0.5000 0.0000  6 Si 2.49-2.72
17 Tc 0.5254 0.9746 0.7500  5 Si 2.49-2.63, 2 Tc 2.76
18 Tc 0.9746 0.5254 0.2500  5 Si 2.49-2.63, 2 Tc 2.76

No. 5
A plane-wave DFT calculation with PBE was carried out for a relaxed Sm2Si3Tc2 crystal.

Results
Its volume is 19.757 Å³/atom. The crystal system is monoclinic. As for the density of states at the Fermi level: 4.9 states/eV per cell. The size of the total moment comes out at 0.0 μB per formula unit. As for the raw formation energy: -0.594 eV per atom.

Cell lengths 6.0997, 6.0997, 7.2139 Å; angles 125.89, 125.89, 41.39 degrees
Closest atoms and distances in Å follow each position.
Sites, in units of the cell vectors:
1 Sm 0.0763 0.0763 0.3301  6 Si 2.91-3.23, 2 Tc 3.17-3.23
2 Sm 0.9237 0.9237 0.6699  6 Si 2.91-3.23, 2 Tc 3.17-3.23
3 Si 0.3591 0.3591 0.3123  3 Tc 2.46-2.51, 1 Si 2.60
4 Si 0.5000 0.5000 0.0000  2 Tc 2.26
5 Si 0.6409 0.6409 0.6877  3 Tc 2.46-2.51, 1 Si 2.60
6 Tc 0.2687 0.2687 0.9004  4 Si 2.26-2.51
7 Tc 0.7313 0.7313 0.0996  4 Si 2.26-2.51

No. 6
A plane-wave DFT calculation with PBE was carried out for a relaxed SmSi3Tc3 crystal.

Results
Its volume is 20.317 Å³/atom. For the offset from the most stable computed form, the calculation gives 584 meV per atom. The crystal system is cubic. As for the density of states at the Fermi level: 14.7 states/eV per cell. The size of the total moment comes out at 2.3 μB per formula unit. As for the raw formation energy: 0.118 eV per atom.

Cell lengths 6.5765, 6.5765, 6.5765 Å; angles 90.00, 90.00, 90.00 degrees
Closest atoms and distances in Å follow each position.
Sites, in units of the cell vectors:
1 Sm 0.0000 0.0000 0.0000  12 Tc 3.68, 12 Si 3.68
2 Sm 0.5000 0.5000 0.5000  12 Tc 3.68, 12 Si 3.68
3 Si 0.0000 0.2500 0.5000  4 Tc 2.33
4 Si 0.0000 0.7500 0.5000  4 Tc 2.33
5 Si 0.2500 0.5000 0.0000  4 Tc 2.33
6 Si 0.5000 0.0000 0.2500  4 Tc 2.33
7 Si 0.5000 0.0000 0.7500  4 Tc 2.33
8 Si 0.7500 0.5000 0.0000  4 Tc 2.33
9 Tc 0.0000 0.5000 0.2500  4 Si 2.33
10 Tc 0.0000 0.5000 0.7500  4 Si 2.33
11 Tc 0.2500 0.0000 0.5000  4 Si 2.33
12 Tc 0.5000 0.2500 0.0000  4 Si 2.33
13 Tc 0.5000 0.7500 0.0000  4 Si 2.33
14 Tc 0.7500 0.0000 0.5000  4 Si 2.33

No. 7
A plane-wave DFT calculation with PBE was carried out for a relaxed SmSi3Tc3 crystal.

Results
Its volume is 17.126 Å³/atom. For the offset from the most stable computed form, the calculation gives 0 meV per atom. The crystal system is monoclinic. As for the density of states at the Fermi level: 10.1 states/eV per cell. The size of the total moment comes out at 0.0 μB per formula unit. As for the raw formation energy: -0.466 eV per atom.

Cell lengths 7.3939, 4.2035, 7.8219 Å; angles 90.00, 99.53, 90.00 degrees
Closest atoms and distances in Å follow each position.
Sites, in units of the cell vectors:
1 Sm 0.1624 0.2500 0.3766  7 Si 2.98-3.10, 1 Tc 3.23
2 Sm 0.8376 0.7500 0.6234  7 Si 2.98-3.10, 1 Tc 3.23
3 Si 0.1049 0.2500 0.8021  3 Tc 2.43-2.57, 1 Si 2.56
4 Si 0.2066 0.7500 0.0949  4 Tc 2.42-2.57, 1 Si 2.56
5 Si 0.4293 0.7500 0.5552  4 Tc 2.37-2.51, 2 Si 2.56
6 Si 0.5707 0.2500 0.4448  4 Tc 2.37-2.51, 2 Si 2.56
7 Si 0.7934 0.2500 0.9051  4 Tc 2.42-2.57, 1 Si 2.56
8 Si 0.8951 0.7500 0.1979  3 Tc 2.43-2.57, 1 Si 2.56
9 Tc 0.2676 0.7500 0.7920  4 Si 2.37-2.48
10 Tc 0.3899 0.2500 0.0405  3 Si 2.57, 6 Tc 2.65-2.81
11 Tc 0.4912 0.2500 0.7293  4 Si 2.39-2.51, 1 Tc 2.66
12 Tc 0.5088 0.7500 0.2707  4 Si 2.39-2.51, 1 Tc 2.66
13 Tc 0.6101 0.7500 0.9595  3 Si 2.57, 6 Tc 2.65-2.81
14 Tc 0.7324 0.2500 0.2080  4 Si 2.37-2.48

No. 8
A plane-wave DFT calculation with PBE was carried out for a relaxed SmSi3Tc3 crystal.

Results
Its volume is 18.057 Å³/atom. For the offset from the most stable computed form, the calculation gives 249 meV per atom. The crystal system is trigonal. As for the density of states at the Fermi level: 8.3 states/eV per cell. The size of the total moment comes out at 0.0 μB per formula unit. As for the raw formation energy: -0.217 eV per atom.

Cell lengths 7.9094, 7.9094, 7.9094 Å; angles 48.29, 48.29, 48.29 degrees
Closest atoms and distances in Å follow each position.
Sites, in units of the cell vectors:
1 Sm 0.1643 0.1643 0.1643  6 Si 3.06-3.26, 6 Tc 3.14-3.30
2 Sm 0.8357 0.8357 0.8357  6 Si 3.06-3.26, 6 Tc 3.14-3.30
3 Si 0.1829 0.6575 0.3882  4 Tc 2.37-2.55
4 Si 0.3425 0.6118 0.8171  4 Tc 2.37-2.55
5 Si 0.3882 0.1829 0.6575  4 Tc 2.37-2.55
6 Si 0.6118 0.8171 0.3425  4 Tc 2.37-2.55
7 Si 0.6575 0.3882 0.1829  4 Tc 2.37-2.55
8 Si 0.8171 0.3425 0.6118  4 Tc 2.37-2.55
9 Tc 0.0429 0.5850 0.2366  4 Si 2.37-2.55
10 Tc 0.2366 0.0429 0.5850  4 Si 2.37-2.55
11 Tc 0.4150 0.7634 0.9571  4 Si 2.37-2.55
12 Tc 0.5850 0.2366 0.0429  4 Si 2.37-2.55
13 Tc 0.7634 0.9571 0.4150  4 Si 2.37-2.55
14 Tc 0.9571 0.4150 0.7634  4 Si 2.37-2.55

No. 9
A plane-wave DFT calculation with PBE was carried out for a relaxed SmSi2Tc crystal.

Results
Its volume is 18.688 Å³/atom. For the offset from the most stable computed form, the calculation gives 106 meV per atom. The crystal system is trigonal. As for the density of states at the Fermi level: 2.9 states/eV per cell. The size of the total moment comes out at 0.0 μB per formula unit. As for the raw formation energy: -0.583 eV per atom.

Cell lengths 5.5787, 5.5787, 5.5787 Å; angles 43.54, 43.54, 43.54 degrees
Closest atoms and distances in Å follow each position.
Sites, in units of the cell vectors:
1 Sm 0.0000 0.0000 0.0000  8 Si 3.03-3.17
2 Si 0.2098 0.2098 0.2098  3 Tc 2.48, 3 Si 2.72
3 Si 0.7902 0.7902 0.7902  3 Tc 2.48, 3 Si 2.72
4 Tc 0.5000 0.5000 0.5000  6 Si 2.48

No. 10
A plane-wave DFT calculation with PBE was carried out for a relaxed Sm2Si4Tc5 crystal.

Results
Its volume is 17.788 Å³/atom. The crystal system is orthorhombic. As for the density of states at the Fermi level: 9.5 states/eV per cell. The size of the total moment comes out at 0.0 μB per formula unit. As for the raw formation energy: -0.461 eV per atom.

Cell lengths 8.4616, 7.3660, 5.7991 Å; angles 79.01, 58.71, 42.28 degrees
Closest atoms and distances in Å follow each position.
Sites, in units of the cell vectors:
1 Sm 0.1320 0.1320 0.8680  8 Si 3.21-3.58, 10 Tc 3.31-3.41, 1 Sm 3.59
2 Sm 0.8680 0.8680 0.1320  8 Si 3.21-3.58, 10 Tc 3.31-3.41, 1 Sm 3.59
3 Si 0.2193 0.5100 0.4900  5 Tc 2.35-2.56
4 Si 0.4900 0.7807 0.2193  5 Tc 2.35-2.56
5 Si 0.5100 0.2193 0.7807  5 Tc 2.35-2.56
6 Si 0.7807 0.4900 0.5100  5 Tc 2.35-2.56
7 Tc 0.0000 0.0000 0.5000  4 Si 2.56, 2 Tc 2.85
8 Tc 0.2500 0.2500 0.2500  4 Si 2.36
9 Tc 0.5000 0.5000 0.0000  4 Si 2.56, 2 Tc 2.85
10 Tc 0.5000 0.5000 0.5000  4 Si 2.35
11 Tc 0.7500 0.7500 0.7500  4 Si 2.36